1.
Ho2MnP4Ir3 | GGA-PBE | relaxed

Unit cell a=4.1276 b=4.1276 c=9.3331 alpha=90.00 beta=90.00 gamma=90.00
Sites, in units of the cell vectors:
Ir 0.5000 0.0000 0.8812
Mn 0.5000 0.5000 0.5000
P 0.5000 0.5000 0.0000
Ho 0.5000 0.0000 0.2422
Ir 0.0000 0.5000 0.1188
Ir 0.0000 0.0000 0.5000
P 0.0000 0.0000 0.0000
P 0.5000 0.0000 0.6264
Ho 0.0000 0.5000 0.7578
P 0.0000 0.5000 0.3736

## Properties
symmetry: No. 115
DFT formation energy: -0.94 eV per atom
DOS(E_F): 0.380 states/eV per atom


2.
HoScMnIr | GGA-PBE | relaxed

Unit cell a=4.7406 b=4.7406 c=4.7406 alpha=60.00 beta=60.00 gamma=60.00
Each line ends with the local moment (μB).
Sites, in units of the cell vectors:
Mn 0.2500 0.2500 0.2500  3.19
Ir 0.7500 0.7500 0.7500  0.09
Ho 0.5000 0.5000 0.5000  -0.18
Sc 0.0000 0.0000 0.0000  -0.22

## Properties
symmetry: No. 216
DFT formation energy: -0.38 eV per atom
DOS(E_F): 1.223 states/eV per atom


3.
Ho2MnSi3Ir4 | GGA-PBE | relaxed

Unit cell a=4.0731 b=4.0731 c=10.1691 alpha=90.00 beta=90.00 gamma=90.00
Each line ends with the local moment (μB).
Sites, in units of the cell vectors:
Si 0.5000 0.0000 0.8713  -0.01
Ir 0.5000 0.5000 0.0000  0.01
Si 0.0000 0.5000 0.1287  -0.01
Mn 0.5000 0.5000 0.5000  2.94
Ho 0.5000 0.0000 0.2476  0.00
Ir 0.5000 0.0000 0.6383  0.00
Ir 0.0000 0.0000 0.0000  -0.01
Ir 0.0000 0.5000 0.3617  0.00
Si 0.0000 0.0000 0.5000  -0.04
Ho 0.0000 0.5000 0.7524  0.00

## Properties
symmetry: No. 115
formation energy from raw total energies: -9.261 eV/f.u.
DOS(E_F): 0.551 states/eV per atom


4.
Ho2MnSi4Ir3 | GGA-PBE | relaxed

Unit cell a=4.0556 b=4.0556 c=10.1216 alpha=90.00 beta=90.00 gamma=90.00
Each line ends with the local moment (μB).
Sites, in units of the cell vectors:
Ir 0.0000 0.5000 0.1291  0.01
Si 0.5000 0.5000 0.0000  0.00
Si 0.0000 0.0000 0.0000  0.01
Si 0.0000 0.5000 0.3661  -0.05
Ir 0.0000 0.0000 0.5000  -0.01
Ho 0.0000 0.5000 0.7511  -0.01
Mn 0.5000 0.5000 0.5000  2.43
Ho 0.5000 0.0000 0.2489  -0.01
Ir 0.5000 0.0000 0.8709  0.01
Si 0.5000 0.0000 0.6339  -0.05

## Properties
symmetry: No. 115
formation energy from raw total energies: -9.155 eV/f.u.
DOS(E_F): 0.637 states/eV per atom


5.
TbHoMnIr | GGA-PBE | relaxed

Unit cell a=4.9086 b=4.9086 c=4.9086 alpha=60.00 beta=60.00 gamma=60.00
Each line ends with the local moment (μB).
Sites, in units of the cell vectors:
Tb 0.0000 0.0000 0.0000  -0.18
Ir 0.2500 0.2500 0.2500  0.14
Ho 0.5000 0.5000 0.5000  -0.19
Mn 0.7500 0.7500 0.7500  3.41

## Properties
symmetry: No. 216
DFT formation energy: -0.30 eV per atom
DOS(E_F): 1.218 states/eV per atom


6.
HoTmMnIr | GGA-PBE | relaxed

Unit cell a=4.8652 b=4.8652 c=4.8652 alpha=60.00 beta=60.00 gamma=60.00
Each line ends with the local moment (μB).
Sites, in units of the cell vectors:
Tm 0.0000 0.0000 0.0000  -0.18
Ho 0.5000 0.5000 0.5000  -0.17
Ir 0.7500 0.7500 0.7500  0.13
Mn 0.2500 0.2500 0.2500  3.38

## Properties
symmetry: No. 216
DFT formation energy: -0.35 eV per atom
DOS(E_F): 1.144 states/eV per atom


7.
Ho12Ir3N5 | GGA-PBE | relaxed

Unit cell a=13.0770 b=13.0770 c=13.0770 alpha=109.47 beta=109.47 gamma=109.47
Sites, in units of the cell vectors:
N 0.7500 0.6250 0.3750
Ho 0.7946 0.4761 0.3786
Ho 0.2946 0.4159 0.8184
N 0.0000 0.5000 0.5000
Ir 0.2500 0.6250 0.8750
Ho 0.1816 0.0841 0.7054
N 0.5000 0.5000 0.5000
Ho 0.2054 0.5239 0.6214
Ir 0.1250 0.2500 0.8750
Ho 0.0975 0.1816 0.4761
Ho 0.3786 0.4025 0.0841
Ho 0.9761 0.5975 0.1816
Ho 0.4025 0.3786 0.5841
Ho 0.5975 0.9761 0.6816
Ho 0.7054 0.5841 0.1816
Ir 0.7500 0.8750 0.6250
Ho 0.3786 0.9761 0.7946
Ho 0.4159 0.2946 0.3184
Ho 0.6816 0.2054 0.5841
Ho 0.9025 0.0841 0.8786
Ho 0.0841 0.9025 0.3786
Ho 0.9025 0.8184 0.5239
Ho 0.5239 0.3184 0.9025
N 0.5000 0.5000 0.0000
Ho 0.4159 0.1214 0.5975
Ho 0.9761 0.3786 0.2946
Ho 0.0239 0.4025 0.8184
Ho 0.7946 0.3184 0.9159
Ho 0.8786 0.2946 0.4761
Ho 0.5841 0.8786 0.4025
N 0.2500 0.8750 0.1250
N 0.8750 0.2500 0.6250
Ho 0.8786 0.5841 0.9025
N 0.3750 0.2500 0.1250
Ho 0.6214 0.0239 0.2054
N 0.2500 0.3750 0.6250
Ho 0.3184 0.5239 0.4025
Ho 0.5841 0.7054 0.6816
N 0.0000 0.0000 0.5000
Ho 0.3184 0.7946 0.4159
Ho 0.6816 0.4761 0.5975
N 0.8750 0.6250 0.7500
N 0.3750 0.1250 0.7500
N 0.7500 0.1250 0.8750
N 0.5000 0.0000 0.0000
Ho 0.2054 0.6816 0.0841
Ho 0.9159 0.0975 0.6214
N 0.1250 0.3750 0.2500
Ho 0.5975 0.6214 0.4159
Ir 0.8750 0.7500 0.1250
N 0.0000 0.5000 0.0000
Ho 0.7054 0.1214 0.0239
Ho 0.4025 0.0239 0.3184
Ho 0.1816 0.0975 0.9761
Ho 0.4761 0.7946 0.8786
Ir 0.3750 0.7500 0.6250
Ir 0.6250 0.3750 0.7500
Ho 0.8184 0.9025 0.0239
Ho 0.1214 0.7054 0.5239
Ir 0.3750 0.6250 0.2500
N 0.1250 0.7500 0.3750
Ir 0.7500 0.3750 0.1250
Ir 0.1250 0.8750 0.7500
N 0.0000 0.0000 0.0000
Ho 0.1214 0.4159 0.0975
Ho 0.5239 0.2054 0.1214
N 0.5000 0.0000 0.5000
Ho 0.8184 0.9159 0.2946
Ho 0.0239 0.6214 0.7054
Ir 0.6250 0.2500 0.3750
Ir 0.8750 0.1250 0.2500
Ho 0.4761 0.6816 0.0975
Ho 0.0975 0.9159 0.1214
Ho 0.9159 0.8184 0.7946
Ho 0.6214 0.5975 0.9159
N 0.6250 0.7500 0.8750
Ir 0.2500 0.1250 0.3750
Ho 0.0841 0.1816 0.2054
N 0.6250 0.8750 0.2500
Ho 0.2946 0.8786 0.9761

## Properties
symmetry: No. 230
formation energy from raw total energies: -20.676 eV/f.u.
DOS(E_F): 0.598 states/eV per atom


8.
NaHoIr4 | GGA-PBE | relaxed

Unit cell a=5.3063 b=5.3063 c=5.3063 alpha=60.00 beta=60.00 gamma=60.00
Sites, in units of the cell vectors:
Ir 0.6252 0.6252 0.6252
Ir 0.6252 0.1244 0.6252
Ir 0.1244 0.6252 0.6252
Na 0.0000 0.0000 0.0000
Ho 0.2500 0.2500 0.2500
Ir 0.6252 0.6252 0.1244

## Properties
symmetry: No. 216
DFT formation energy: -0.36 eV per atom
DOS(E_F): 1.020 states/eV per atom


9.
NaHo3Ir | GGA-PBE | relaxed

Unit cell a=5.4442 b=5.4442 c=5.4442 alpha=90.00 beta=90.00 gamma=90.00
Sites, in units of the cell vectors:
Ir 0.0000 0.0000 0.0000
Ho 0.0000 0.5000 0.0000
Na 0.5000 0.5000 0.5000
Ho 0.5000 0.0000 0.0000
Ho 0.0000 0.0000 0.5000

## Properties
symmetry: No. 221
DFT formation energy: -0.28 eV per atom
DOS(E_F): 0.427 states/eV per atom


10.
NaHo2Ir | GGA-PBE | relaxed

Unit cell a=4.0186 b=4.0186 c=10.5488 alpha=79.02 beta=79.02 gamma=60.00
Sites, in units of the cell vectors:
Ir 0.5000 0.5000 0.5000
Ho 0.1202 0.1202 0.6395
Na 0.0000 0.0000 0.0000
Ho 0.8798 0.8798 0.3605

## Properties
symmetry: No. 166
DFT formation energy: -0.33 eV per atom
energy relative to the lowest polymorph listed for this composition: 0.069 eV/atom
DOS(E_F): 0.814 states/eV per atom


11.
NaHo2Ir | GGA-PBE | relaxed

Unit cell a=3.4451 b=3.4451 c=9.5091 alpha=90.00 beta=90.00 gamma=90.00
Sites, in units of the cell vectors:
Ir 0.5000 0.5000 0.0000
Ho 0.0000 0.0000 0.1694
Ho 0.0000 0.0000 0.8306
Na 0.5000 0.5000 0.5000

## Properties
symmetry: No. 123
DFT formation energy: -0.40 eV per atom
energy relative to the lowest polymorph listed for this composition: 0.000 eV/atom
DOS(E_F): 0.847 states/eV per atom


12.
Na3Ho2IrO6 | GGA-PBE | relaxed

Unit cell a=5.6460 b=5.6460 c=5.9108 alpha=99.01 beta=99.01 gamma=119.87
Sites, in units of the cell vectors:
Na 0.1570 0.8430 0.5000
O 0.6091 0.9280 0.7832
Na 0.8430 0.1570 0.5000
Ho 0.6675 0.3325 0.0000
O 0.9280 0.6091 0.7832
O 0.2502 0.2502 0.7866
O 0.3909 0.0720 0.2168
Ir 0.0000 0.0000 0.0000
Ho 0.3325 0.6675 0.0000
Na 0.5000 0.5000 0.5000
O 0.7498 0.7498 0.2134
O 0.0720 0.3909 0.2168

## Properties
symmetry: No. 12
formation energy from raw total energies: -26.022 eV/f.u.
DOS(E_F): 0.000 states/eV per atom


13.
Na4Ho2Ir3O12 | GGA-PBE | relaxed

Unit cell a=9.4668 b=9.4668 c=3.1934 alpha=90.00 beta=90.00 gamma=120.00
Sites, in units of the cell vectors:
Na 0.0000 0.6985 0.5000
Na 0.0000 0.0000 0.0000
Ir 0.0000 0.3319 0.0000
O 0.5409 0.5409 0.5000
Na 0.6985 0.0000 0.5000
Ir 0.3319 0.0000 0.0000
O 0.0000 0.4591 0.5000
O 0.4623 0.2435 0.0000
Ir 0.6681 0.6681 0.0000
Ho 0.6667 0.3333 0.5000
O 0.7812 0.5377 0.0000
O 0.7565 0.2188 0.0000
O 0.2188 0.7565 0.0000
O 0.5377 0.7812 0.0000
O 0.8015 0.8015 0.5000
O 0.1985 0.0000 0.5000
O 0.2435 0.4623 0.0000
Na 0.3015 0.3015 0.5000
O 0.4591 0.0000 0.5000
O 0.0000 0.1985 0.5000
Ho 0.3333 0.6667 0.5000

## Properties
symmetry: No. 189
formation energy from raw total energies: -35.943 eV/f.u.
DOS(E_F): 0.434 states/eV per atom


14.
NaHoIrO4 | GGA-PBE | relaxed

Unit cell a=9.3514 b=9.3514 c=3.2459 alpha=90.00 beta=90.00 gamma=118.26
Each line ends with the local moment (μB).
Sites, in units of the cell vectors:
Ho 0.3137 0.6585 0.5000  0.03
O 0.7842 0.2411 0.0000  0.04
O 0.7418 0.5483 0.0000  0.02
Ho 0.7007 0.7007 0.5000  0.01
O 0.9849 0.8067 0.5000  0.05
O 0.5483 0.7418 0.0000  0.02
O 0.8067 0.9849 0.5000  0.05
Ir 0.3332 0.3332 0.0000  0.52
O 0.4667 0.2154 0.0000  0.05
Ir 0.6735 0.9962 0.0000  0.42
O 0.2411 0.7842 0.0000  0.04
Na 0.3024 0.0003 0.5000  0.00
O 0.5465 0.0004 0.5000  0.08
Ho 0.6585 0.3137 0.5000  0.03
Ir 0.9962 0.6735 0.0000  0.42
Na 0.0199 0.0199 0.0000  0.00
O 0.2029 0.2029 0.5000  0.08
Na 0.0003 0.3024 0.5000  0.00
O 0.4624 0.4624 0.5000  0.05
O 0.0004 0.5465 0.5000  0.08
O 0.2154 0.4667 0.0000  0.05

## Properties
symmetry: No. 38
formation energy from raw total energies: -13.524 eV/f.u.
energy relative to the lowest polymorph listed for this composition: 0.000 eV/atom
DOS(E_F): 0.383 states/eV per atom


15.
Na2HoIrO6 | GGA-PBE | relaxed

Unit cell a=5.6296 b=5.7255 c=8.0433 alpha=90.00 beta=90.34 gamma=90.00
Sites, in units of the cell vectors:
Na 0.0076 0.9639 0.2501
Ir 0.0000 0.5000 0.0000
O 0.0828 0.4772 0.7699
O 0.2748 0.6883 0.0415
O 0.1837 0.2254 0.0454
O 0.2252 0.1883 0.4585
Na 0.4924 0.4639 0.2499
Ho 0.0000 0.5000 0.5000
O 0.7748 0.8117 0.5415
Na 0.5076 0.5361 0.7501
Ir 0.5000 0.0000 0.5000
O 0.3163 0.7254 0.4546
O 0.7252 0.3117 0.9585
O 0.8163 0.7746 0.9546
Na 0.9924 0.0361 0.7499
O 0.6837 0.2746 0.5454
O 0.5828 0.0228 0.2699
O 0.4172 0.9772 0.7301
O 0.9172 0.5228 0.2301
Ho 0.5000 0.0000 0.0000

## Properties
symmetry: No. 14
formation energy from raw total energies: -16.734 eV/f.u.
DOS(E_F): 0.574 states/eV per atom


16.
NaHoIrO6 | GGA-PBE | relaxed

Unit cell a=5.5717 b=5.5717 c=9.5756 alpha=90.00 beta=90.00 gamma=120.00
Each line ends with the local moment (μB).
Sites, in units of the cell vectors:
Ir 0.3333 0.6667 0.7500  0.37
O 0.3458 0.9540 0.6382  0.05
O 0.6542 0.0460 0.3618  0.05
O 0.6542 0.6082 0.1382  0.05
O 0.9540 0.6082 0.3618  0.05
O 0.6082 0.9540 0.8618  0.05
O 0.0460 0.6542 0.8618  0.05
Ho 0.6667 0.3333 0.7500  0.04
O 0.9540 0.3458 0.1382  0.05
O 0.0460 0.3918 0.6382  0.05
O 0.6082 0.6542 0.6382  0.05
Ir 0.6667 0.3333 0.2500  0.37
Ho 0.3333 0.6667 0.2500  0.04
Na 0.0000 0.0000 0.0000  0.00
O 0.3918 0.0460 0.1382  0.05
Na 0.0000 0.0000 0.5000  0.00
O 0.3918 0.3458 0.3618  0.05
O 0.3458 0.3918 0.8618  0.05

## Properties
symmetry: No. 163
formation energy from raw total energies: -12.976 eV/f.u.
DOS(E_F): 0.571 states/eV per atom


17.
NaHoIrO4 | GGA-PBE | relaxed

Unit cell a=6.5238 b=6.4782 c=6.8587 alpha=121.96 beta=90.00 gamma=120.23
Each line ends with the local moment (μB).
Sites, in units of the cell vectors:
O 0.2456 0.4912 0.3100  0.06
O 0.7383 0.0372 0.2686  0.04
O 0.7544 0.5088 0.3189  0.06
O 0.7544 0.5088 0.6900  0.06
Ho 0.5000 0.0000 0.0000  0.02
Na 0.1178 0.2357 0.8678  0.00
O 0.2456 0.4912 0.6811  0.06
Na 0.8822 0.7643 0.1322  0.00
Ir 0.0000 0.5000 0.5000  0.44
O 0.7011 0.9628 0.7314  0.04
O 0.2617 0.9628 0.7314  0.04
Ir 0.5000 0.5000 0.5000  0.44
O 0.2989 0.0372 0.2686  0.04
Ho 0.5000 0.0000 0.5000  0.02

## Properties
symmetry: No. 74
formation energy from raw total energies: -13.312 eV/f.u.
energy relative to the lowest polymorph listed for this composition: 0.030 eV/atom
DOS(E_F): 0.475 states/eV per atom


18.
Na2Ho2IrO6 | GGA-PBE | relaxed

Unit cell a=5.7059 b=5.7059 c=5.8926 alpha=97.50 beta=97.50 gamma=120.14
Each line ends with the local moment (μB).
Sites, in units of the cell vectors:
O 0.7488 0.7488 0.7044  0.03
O 0.6422 0.9573 0.3071  0.06
O 0.2512 0.2512 0.2956  0.03
Ho 0.3379 0.6621 0.5000  0.02
Ho 0.6621 0.3379 0.5000  0.02
Na 0.1466 0.8534 0.0000  0.00
O 0.3578 0.0427 0.6929  0.06
Na 0.8534 0.1466 0.0000  0.00
Ir 0.0000 0.0000 0.5000  0.66
O 0.0427 0.3578 0.6929  0.06
O 0.9573 0.6422 0.3071  0.06

## Properties
symmetry: No. 12
formation energy from raw total energies: -23.964 eV/f.u.
DOS(E_F): 0.594 states/eV per atom


19.
HoNb2Ir2 | GGA-PBE | relaxed

Unit cell a=4.4441 b=4.4441 c=6.1022 alpha=111.35 beta=111.35 gamma=90.00
Sites, in units of the cell vectors:
Nb 0.2500 0.7500 0.5000
Nb 0.7500 0.2500 0.5000
Ir 0.3761 0.3761 0.7522
Ho 0.0000 0.0000 0.0000
Ir 0.6239 0.6239 0.2478

## Properties
symmetry: No. 139
DFT formation energy: -0.55 eV per atom
DOS(E_F): 0.662 states/eV per atom